This record from the Alexandria database describes BaHoEr2 after structural relaxation. The functional is PBE.

The space group is R-3m (No. 166, hexagonal axes) and the conventional cell measures 3.5731, 3.5731 and 38.2541 Å, with angles of 90.00, 90.00 and 120.00 degrees. The inequivalent atoms are Ba at (0.0000, 0.0000, 0.0000), Ho at (0.0000, 0.0000, 0.5000) and Er at (0.0000, 0.0000, 0.0940).

The calculation puts the energy of formation from the pure elements at 238 meV per atom.